Record 1
Here is crystalline GaNiSb at its relaxed geometry from OQMD via LeMat-Bulk. Energies are from PBE.

Cell lengths 4.263, 4.263, 4.263 Å; angles 60.00, 60.00, 60.00 degrees
Positions (direct):
Ga  0.250  0.250  0.250
Ni  0.000  0.000  0.000
Sb  0.750  0.750  0.750

**Size of the total moment**: 0.01 μB per formula unit
**Energy relative to the lowest polymorph listed for this composition**: 0 kJ/mol of formula units
**Final energy**: -4.488 eV/atom



Record 2
Here is crystalline YErAlNi2 at its relaxed geometry from OQMD via LeMat-Bulk. Energies are from PBE.

Cell lengths 5.372, 5.372, 5.372 Å; angles 134.25, 119.81, 78.76 degrees
Positions (direct):
Al  0.000  0.000  0.000
Er  0.704  0.204  0.500
Ni  0.733  0.500  0.233
Ni  0.267  0.500  0.767
Y  0.296  0.796  0.500

**Size of the total moment**: 0.00 μB per formula unit
**Final energy**: -5.743 eV/atom



Record 3
Here is crystalline MgNbAsO at its relaxed geometry from OQMD via LeMat-Bulk. Energies are from PBE.

Cell lengths 4.071, 4.071, 9.169 Å; angles 90.00, 90.00, 90.00 degrees
Positions (direct):
As  0.000  0.500  0.324
As  0.500  0.000  0.676
Mg  0.500  0.000  0.009
Mg  0.000  0.500  0.991
Nb  0.000  0.000  0.500
Nb  0.500  0.500  0.500
O  0.000  0.000  0.000
O  0.500  0.500  0.000

**Size of the total moment**: 0.00 μB per formula unit
**Energy relative to the lowest polymorph listed for this composition**: 53 kJ/mol of formula units
**Final energy**: -6.445 eV/atom



Record 4
Here is crystalline BaPrAgTe3 at its relaxed geometry from OQMD via LeMat-Bulk. Energies are from PBE.

Cell lengths 8.796, 4.582, 10.959 Å; angles 90.00, 106.03, 90.00 degrees
Positions (direct):
Ag  0.081  0.250  0.093
Ag  0.919  0.750  0.907
Ba  0.749  0.750  0.204
Ba  0.251  0.250  0.796
Pr  0.301  0.750  0.343
Pr  0.699  0.250  0.657
Te  0.263  0.750  0.045
Te  0.051  0.250  0.345
Te  0.561  0.250  0.355
Te  0.439  0.750  0.645
Te  0.949  0.750  0.655
Te  0.737  0.250  0.955

**Size of the total moment**: 0.00 μB per formula unit
**Final energy**: -4.421 eV/atom



Record 5
Here is crystalline AcTmPt at its relaxed geometry from OQMD via LeMat-Bulk. Energies are from PBE.

Cell lengths 4.917, 4.917, 4.917 Å; angles 60.00, 60.00, 60.00 degrees
Positions (direct):
Ac  0.250  0.250  0.250
Pt  0.750  0.750  0.750
Tm  0.000  0.000  0.000

**Size of the total moment**: 0.00 μB per formula unit
**Energy relative to the elements**: -68 meV/atom
**Final energy**: -4.947 eV/atom



Record 6
Here is crystalline HfBe2Cd at its relaxed geometry from OQMD via LeMat-Bulk. Energies are from PBE.

Cell lengths 4.434, 4.434, 4.434 Å; angles 60.00, 60.00, 60.00 degrees
Positions (direct):
Be  0.000  0.000  0.000
Be  0.250  0.250  0.250
Cd  0.750  0.750  0.750
Hf  0.500  0.500  0.500

**Size of the total moment**: 0.00 μB per formula unit
**Final energy**: -4.178 eV/atom



Record 7
Here is crystalline PuZrNi at its relaxed geometry from OQMD via LeMat-Bulk. Energies are from PBE.

Cell lengths 4.364, 4.364, 4.364 Å; angles 60.00, 60.00, 60.00 degrees
Site moments in Bohr magnetons follow the coordinates.
Positions (direct):
Ni  0.250  0.250  0.250  -0.05
Pu  0.000  0.000  0.000  5.08
Zr  0.750  0.750  0.750  0.41

**Size of the total moment**: 5.44 μB per formula unit
**Energy relative to the elements**: 589 meV/atom
**Energy relative to the lowest polymorph listed for this composition**: 0 kJ/mol of formula units
**Final energy**: -8.824 eV/atom



Record 8
Here is crystalline TePdPbO at its relaxed geometry from OQMD via LeMat-Bulk. Energies are from PBE.

Cell lengths 5.097, 9.148, 8.329 Å; angles 90.00, 90.00, 90.00 degrees
Positions (direct):
O  0.637  0.282  0.136
O  0.363  0.782  0.364
O  0.863  0.718  0.636
O  0.137  0.218  0.864
Pb  0.362  0.098  0.058
Pb  0.638  0.598  0.442
Pb  0.138  0.902  0.558
Pb  0.862  0.402  0.942
Pd  0.354  0.767  0.104
Pd  0.646  0.267  0.396
Pd  0.146  0.233  0.604
Pd  0.854  0.733  0.896
Te  0.857  0.817  0.191
Te  0.143  0.317  0.309
Te  0.643  0.183  0.691
Te  0.357  0.683  0.809

**Energy relative to the lowest polymorph listed for this composition**: 52 kJ/mol of formula units
**Final energy**: -4.715 eV/atom



Record 9
Here is crystalline ErTc2 at its relaxed geometry from OQMD via LeMat-Bulk. Energies are from PBE.

Cell lengths 5.349, 5.349, 8.818 Å; angles 90.00, 90.00, 60.00 degrees
Positions (direct):
Er  0.333  0.333  0.063
Er  0.333  0.333  0.437
Er  0.667  0.667  0.563
Er  0.667  0.667  0.937
Tc  0.000  0.000  0.000
Tc  0.829  0.343  0.250
Tc  0.829  0.829  0.250
Tc  0.343  0.829  0.250
Tc  0.000  0.000  0.500
Tc  0.171  0.171  0.750
Tc  0.657  0.171  0.750
Tc  0.171  0.657  0.750

**Size of the total moment**: 0.01 μB per formula unit
**Energy relative to the elements**: -224 meV/atom
**Energy relative to the lowest polymorph listed for this composition**: 0 kJ/mol of formula units
**Final energy**: -8.653 eV/atom



Record 10
Here is crystalline Ho2ErGa2 at its relaxed geometry from OQMD via LeMat-Bulk. Energies are from PBE.

Cell lengths 7.617, 7.617, 4.276 Å; angles 90.00, 90.00, 90.00 degrees
Positions (direct):
Er  0.000  0.000  0.000
Er  0.500  0.500  0.000
Ga  0.379  0.121  0.000
Ga  0.879  0.379  0.000
Ga  0.121  0.621  0.000
Ga  0.621  0.879  0.000
Ho  0.674  0.174  0.500
Ho  0.174  0.326  0.500
Ho  0.826  0.674  0.500
Ho  0.326  0.826  0.500

**Size of the total moment**: 0.01 μB per formula unit
**Final energy**: -4.481 eV/atom



Record 11
Here is crystalline GaHg2Mo at its relaxed geometry from OQMD via LeMat-Bulk. Energies are from PBE.

Cell lengths 4.821, 4.821, 4.821 Å; angles 60.00, 60.00, 60.00 degrees
Site moments in Bohr magnetons follow the coordinates.
Positions (direct):
Ga  0.500  0.500  0.500  0.00
Hg  0.000  0.000  0.000  0.02
Hg  0.750  0.750  0.750  0.02
Mo  0.250  0.250  0.250  2.37

**Size of the total moment**: 2.80 μB per formula unit
**Final energy**: -2.933 eV/atom



Record 12
Here is crystalline CdSiO3 at its relaxed geometry from OQMD via LeMat-Bulk. Energies are from PBE.

Cell lengths 6.969, 7.282, 15.067 Å; angles 90.00, 94.64, 90.00 degrees
Positions (direct):
Cd  0.251  0.628  0.099
Cd  0.255  0.120  0.101
Cd  0.010  0.376  0.249
Cd  0.990  0.876  0.251
Cd  0.745  0.620  0.399
Cd  0.749  0.128  0.401
Cd  0.251  0.872  0.599
Cd  0.255  0.380  0.601
Cd  0.010  0.124  0.749
Cd  0.990  0.624  0.751
Cd  0.745  0.880  0.899
Cd  0.749  0.372  0.901
O  0.224  0.380  0.014
O  0.229  0.870  0.015
O  0.696  0.876  0.099
O  0.584  0.198  0.134
O  0.583  0.555  0.135
O  0.958  0.129  0.152
O  0.958  0.625  0.154
O  0.315  0.375  0.207
O  0.306  0.876  0.212
O  0.694  0.376  0.288
O  0.685  0.875  0.293
O  0.042  0.125  0.346
O  0.042  0.629  0.348
O  0.417  0.055  0.365
O  0.416  0.698  0.366
O  0.304  0.376  0.401
O  0.771  0.370  0.485
O  0.776  0.880  0.486
O  0.224  0.120  0.514
O  0.229  0.630  0.515
O  0.696  0.624  0.599
O  0.584  0.302  0.634
O  0.583  0.945  0.635
O  0.958  0.371  0.652
O  0.958  0.875  0.654
O  0.315  0.125  0.707
O  0.306  0.624  0.712
O  0.694  0.124  0.788
O  0.685  0.625  0.793
O  0.042  0.375  0.846
O  0.042  0.871  0.848
O  0.417  0.445  0.865
O  0.416  0.802  0.866
O  0.304  0.124  0.901
O  0.771  0.130  0.985
O  0.776  0.620  0.986
Si  0.761  0.662  0.090
Si  0.760  0.089  0.090
Si  0.545  0.377  0.200
Si  0.455  0.877  0.300
Si  0.240  0.589  0.410
Si  0.239  0.162  0.410
Si  0.761  0.838  0.590
Si  0.760  0.411  0.590
Si  0.545  0.123  0.700
Si  0.455  0.623  0.800
Si  0.240  0.911  0.910
Si  0.239  0.338  0.910

**Final energy**: -6.359 eV/atom